# TeIrCl2 | the Alexandria database | PBE | relaxed
# - Distance to the lowest polymorph of the same formula: 1.64 eV/f.u.
# - Formation energy without anion corrections: 0.193 eV per atom
# - Calculated density: 5.3 Mg/m³
# - VASP energy: -3.7310 eV per atom
# - DOS at the Fermi energy: 0.352 states/eV per atom
data_TeIrCl2
_space_group_name_H-M_alt 'C m m 2'
_space_group_IT_number 35
_cell_length_a 3.7010
_cell_length_b 7.4505
_cell_length_c 8.8088
_cell_angle_alpha 90.00
_cell_angle_beta 90.00
_cell_angle_gamma 90.00
loop_
_space_group_symop_operation_xyz
'x,y,z'
'-x,-y,z'
'-x,y,z'
'x,-y,z'
'x+1/2,y+1/2,z'
'-x+1/2,-y+1/2,z'
'-x+1/2,y+1/2,z'
'x+1/2,-y+1/2,z'
loop_
_atom_site_label
_atom_site_type_symbol
_atom_site_fract_x
_atom_site_fract_y
_atom_site_fract_z
Te1 Te 0.0000 0.0000 0.0000
Ir1 Ir 0.0000 0.5000 0.8162
Cl1 Cl 0.0000 0.0000 0.6328
Cl2 Cl 0.0000 0.5000 0.2577

# TeIrCl2 | the Alexandria database | PBE | relaxed
# - Distance to the lowest polymorph of the same formula: 5.17 eV/f.u.
# - Formation energy without anion corrections: 1.074 eV per atom
# - Calculated density: 8.2 Mg/m³
# - VASP energy: -2.8501 eV per atom
# - DOS at the Fermi energy: 1.292 states/eV per atom
data_TeIrCl2
_space_group_name_H-M_alt 'F m -3 m'
_space_group_IT_number 225
_space_group_name_Hall '-F 4 2 3'
_cell_length_a 6.8025
_cell_length_b 6.8025
_cell_length_c 6.8025
_cell_angle_alpha 90.00
_cell_angle_beta 90.00
_cell_angle_gamma 90.00
loop_
_atom_site_label
_atom_site_type_symbol
_atom_site_fract_x
_atom_site_fract_y
_atom_site_fract_z
Te1 Te 0.0000 0.0000 0.0000
Ir1 Ir 0.0000 0.0000 0.5000
Cl1 Cl 0.2500 0.2500 0.2500

# TeIrCl | the Alexandria database | PBE | relaxed
# - Formation energy without anion corrections: 0.164 eV per atom
# - Calculated density: 8.8 Mg/m³
# - VASP energy: -4.4527 eV per atom
# - DOS at the Fermi energy: 0.209 states/eV per atom
data_TeIrCl
_space_group_name_H-M_alt 'I 4 m m'
_space_group_IT_number 107
_space_group_name_Hall 'I 4 -2'
_cell_length_a 3.2751
_cell_length_b 3.2751
_cell_length_c 12.4577
_cell_angle_alpha 90.00
_cell_angle_beta 90.00
_cell_angle_gamma 90.00
loop_
_atom_site_label
_atom_site_type_symbol
_atom_site_fract_x
_atom_site_fract_y
_atom_site_fract_z
Te1 Te 0.0000 0.0000 0.0000
Ir1 Ir 0.0000 0.0000 0.6098
Cl1 Cl 0.0000 0.0000 0.2568

# TeIrCl2 | the Alexandria database | PBE | relaxed
# - Distance to the lowest polymorph of the same formula: 0.23 eV/f.u.
# - Formation energy without anion corrections: -0.160 eV per atom
# - Calculated density: 5.5 Mg/m³
# - VASP energy: -4.0838 eV per atom
# - DOS at the Fermi energy: 0.497 states/eV per atom
data_TeIrCl2
_space_group_name_H-M_alt 'C m m m'
_space_group_IT_number 65
_space_group_name_Hall '-C 2 2'
_cell_length_a 5.4465
_cell_length_b 12.6727
_cell_length_c 3.3993
_cell_angle_alpha 90.00
_cell_angle_beta 90.00
_cell_angle_gamma 90.00
loop_
_atom_site_label
_atom_site_type_symbol
_atom_site_fract_x
_atom_site_fract_y
_atom_site_fract_z
Te1 Te 0.0000 0.0000 0.0000
Ir1 Ir 0.0000 0.5000 0.0000
Cl1 Cl 0.0000 0.3710 0.5000

# Te4IrCl | the Alexandria database | PBE | relaxed
# - Distance to the lowest polymorph of the same formula: 6.44 eV/f.u.
# - Formation energy without anion corrections: 0.963 eV per atom
# - Calculated density: 7.6 Mg/m³
# - VASP energy: -2.9164 eV per atom
# - DOS at the Fermi energy: 1.041 states/eV per atom
data_Te4IrCl
_space_group_name_H-M_alt 'F -4 3 m'
_space_group_IT_number 216
_space_group_name_Hall 'F -4 2 3'
_cell_length_a 8.6557
_cell_length_b 8.6557
_cell_length_c 8.6557
_cell_angle_alpha 90.00
_cell_angle_beta 90.00
_cell_angle_gamma 90.00
loop_
_atom_site_label
_atom_site_type_symbol
_atom_site_fract_x
_atom_site_fract_y
_atom_site_fract_z
Te1 Te 0.1252 0.1252 0.1252
Ir1 Ir 0.0000 0.0000 0.5000
Cl1 Cl 0.2500 0.2500 0.7500

# TeIrCl2 | the Alexandria database | PBE | relaxed
# - Distance to the lowest polymorph of the same formula: 1.34 eV/f.u.
# - Formation energy without anion corrections: 0.118 eV per atom
# - Calculated density: 6.1 Mg/m³
# - VASP energy: -3.8061 eV per atom
# - DOS at the Fermi energy: 0.396 states/eV per atom
data_TeIrCl2
_space_group_name_H-M_alt 'I m m m'
_space_group_IT_number 71
_space_group_name_Hall '-I 2 2'
_cell_length_a 3.1750
_cell_length_b 5.3474
_cell_length_c 12.6233
_cell_angle_alpha 90.00
_cell_angle_beta 90.00
_cell_angle_gamma 90.00
loop_
_atom_site_label
_atom_site_type_symbol
_atom_site_fract_x
_atom_site_fract_y
_atom_site_fract_z
Te1 Te 0.0000 0.0000 0.0000
Ir1 Ir 0.0000 0.0000 0.5000
Cl1 Cl 0.0000 0.5000 0.1411

# TeIrCl2 | the Alexandria database | PBE | relaxed
# - Distance to the lowest polymorph of the same formula: 1.75 eV/f.u.
# - Formation energy without anion corrections: 0.220 eV per atom
# - Calculated density: 6.8 Mg/m³
# - VASP energy: -3.7038 eV per atom
# - DOS at the Fermi energy: 1.066 states/eV per atom
data_TeIrCl2
_space_group_name_H-M_alt 'R -3 m'
_space_group_IT_number 166
_space_group_name_Hall '-R 3 2"'
_cell_length_a 3.0424
_cell_length_b 3.0424
_cell_length_c 35.8590
_cell_angle_alpha 90.00
_cell_angle_beta 90.00
_cell_angle_gamma 120.00
loop_
_atom_site_label
_atom_site_type_symbol
_atom_site_fract_x
_atom_site_fract_y
_atom_site_fract_z
Te1 Te 0.0000 0.0000 0.0000
Ir1 Ir 0.0000 0.0000 0.5000
Cl1 Cl 0.0000 0.0000 0.4383

# TeIrCl2 | the Alexandria database | PBE | relaxed
# - Distance to the lowest polymorph of the same formula: 1.99 eV/f.u.
# - Formation energy without anion corrections: 0.279 eV per atom
# - Calculated density: 6.6 Mg/m³
# - VASP energy: -3.6453 eV per atom
# - DOS at the Fermi energy: 0.737 states/eV per atom
data_TeIrCl2
_space_group_name_H-M_alt 'R -3 m'
_space_group_IT_number 166
_space_group_name_Hall '-R 3 2"'
_cell_length_a 3.4925
_cell_length_b 3.4925
_cell_length_c 27.9349
_cell_angle_alpha 90.00
_cell_angle_beta 90.00
_cell_angle_gamma 120.00
loop_
_atom_site_label
_atom_site_type_symbol
_atom_site_fract_x
_atom_site_fract_y
_atom_site_fract_z
Te1 Te 0.0000 0.0000 0.0000
Ir1 Ir 0.0000 0.0000 0.5000
Cl1 Cl 0.0000 0.0000 0.2148

formation energy without anion corrections of number 8 (TeIrCl2)?
0.279 eV per atom

Copy entry 6 word for word.
# TeIrCl2 | the Alexandria database | PBE | relaxed
# - Distance to the lowest polymorph of the same formula: 1.34 eV/f.u.
# - Formation energy without anion corrections: 0.118 eV per atom
# - Calculated density: 6.1 Mg/m³
# - VASP energy: -3.8061 eV per atom
# - DOS at the Fermi energy: 0.396 states/eV per atom
data_TeIrCl2
_space_group_name_H-M_alt 'I m m m'
_space_group_IT_number 71
_space_group_name_Hall '-I 2 2'
_cell_length_a 3.1750
_cell_length_b 5.3474
_cell_length_c 12.6233
_cell_angle_alpha 90.00
_cell_angle_beta 90.00
_cell_angle_gamma 90.00
loop_
_atom_site_label
_atom_site_type_symbol
_atom_site_fract_x
_atom_site_fract_y
_atom_site_fract_z
Te1 Te 0.0000 0.0000 0.0000
Ir1 Ir 0.0000 0.0000 0.5000
Cl1 Cl 0.0000 0.5000 0.1411